Computed, not measured: NaTlI2O after structural relaxation at the PBE level of DFT.

Geometry as POSCAR:
```
NaTlI2O
1.0
6.2539 0.0000 0.0000
0.0000 6.2539 0.0000
0.0000 0.0000 4.1551
Na Tl I O
1 1 2 1
Direct
0.0000 0.0000 0.0000
0.5000 0.5000 0.5000
0.0000 0.5000 0.5000
0.5000 0.0000 0.5000
0.5000 0.5000 0.0000
```

**Raw formation energy**: -2.53 eV/f.u.
**Space-group type**: P4/mmm (123)
**Total energy**: -2.85 eV per atom